Entry 1:
Ca2PbO2 | Alexandria | GGA-PBE | relaxed; DOS(E_F) = 1.91 states/eV/f.u.; uncorrected formation energy = -1.833 eV/atom
1.0
-2.1339 2.1339 5.8299
2.1339 -2.1339 5.8299
2.1339 2.1339 -5.8299
Ca Pb O
2 1 2
direct
0.1841 0.1841 0.0000 Ca
0.8159 0.8159 0.0000 Ca
0.5000 0.5000 0.0000 Pb
0.2500 0.7500 0.5000 O
0.7500 0.2500 0.5000 O

***

Entry 2:
K3CaRu | Alexandria | GGA-PBE | relaxed; DOS(E_F) = 7.69 states/eV/f.u.; energy above the most stable polymorph in this dataset = 2.43 eV per formula unit; calculated formation energy = 1.55 eV per atom
1.0
7.1407 0.0000 0.0000
0.0000 7.1407 0.0000
0.0000 0.0000 7.1407
K Ca Ru
3 1 1
direct
0.0000 0.0000 0.5000 K
0.0000 0.5000 0.0000 K
0.5000 0.0000 0.0000 K
0.0000 0.0000 0.0000 Ca
0.5000 0.5000 0.5000 Ru

***

Entry 3:
LaY12Er6 | Alexandria | GGA-PBE | relaxed; DOS(E_F) = 34.82 states/eV/f.u.; energy above the most stable polymorph in this dataset = 0.00 eV per formula unit; calculated formation energy = 0.15 eV per atom
1.0
5.9398 3.4293 5.1040
-5.9398 3.4293 5.1040
0.0000 -6.8587 5.1040
La Y Er
1 12 6
direct
0.0000 0.0000 0.0000 La
0.0085 0.3588 0.2057 Y
0.2057 0.0085 0.3588 Y
0.2247 0.5649 0.4555 Y
0.3588 0.2057 0.0085 Y
0.4351 0.5445 0.7753 Y
0.4555 0.2247 0.5649 Y
0.5445 0.7753 0.4351 Y
0.5649 0.4555 0.2247 Y
0.6412 0.7943 0.9915 Y
0.7753 0.4351 0.5445 Y
0.7943 0.9915 0.6412 Y
0.9915 0.6412 0.7943 Y
0.0930 0.2562 0.6889 Er
0.2562 0.6889 0.0930 Er
0.3111 0.9070 0.7438 Er
0.6889 0.0930 0.2562 Er
0.7438 0.3111 0.9070 Er
0.9070 0.7438 0.3111 Er

***

Entry 4:
CsNaPb2Cl6 | Alexandria | GGA-PBE | relaxed; DOS(E_F) = 0.00 states/eV/f.u.; uncorrected formation energy = -1.454 eV/atom
1.0
3.8264 2.2092 6.6911
-3.8264 2.2092 6.6911
0.0000 -4.4184 6.6911
Cs Na Pb Cl
1 1 2 6
direct
0.0000 0.0000 0.0000 Cs
0.4661 0.4661 0.4661 Na
0.2644 0.2644 0.2644 Pb
0.7765 0.7765 0.7765 Pb
0.0530 0.5849 0.4576 Cl
0.1701 0.5334 0.8754 Cl
0.4576 0.0530 0.5849 Cl
0.5334 0.8754 0.1701 Cl
0.5849 0.4576 0.0530 Cl
0.8754 0.1701 0.5334 Cl

***

Entry 5:
Sr3Zn9Pt2 | Alexandria | GGA-PBE | relaxed; DOS(E_F) = 8.13 states/eV/f.u.; calculated formation energy = -0.37 eV per atom
1.0
-2.2008 4.8742 6.6289
2.2008 -4.8742 6.6289
2.2008 4.8742 -6.6289
Sr Zn Pt
3 9 2
direct
0.0000 0.0000 0.0000 Sr
0.3118 0.3118 0.0000 Sr
0.6882 0.6882 0.0000 Sr
0.0243 0.6718 0.3525 Zn
0.1646 0.8814 0.2831 Zn
0.3193 0.6718 0.6475 Zn
0.4017 0.1186 0.2831 Zn
0.5000 0.0000 0.5000 Zn
0.5983 0.8814 0.7169 Zn
0.6807 0.3282 0.3525 Zn
0.8354 0.1186 0.7169 Zn
0.9757 0.3282 0.6475 Zn
0.2833 0.5000 0.7833 Pt
0.7167 0.5000 0.2167 Pt

***

Entry 6:
Ca5NdMg4 | Alexandria | GGA-PBE | relaxed; DOS(E_F) = 13.85 states/eV/f.u.; calculated formation energy = -0.03 eV per atom
1.0
3.9231 0.0000 0.0000
0.0000 3.9231 0.0000
0.0000 0.0000 21.1469
Ca Nd Mg
5 1 4
direct
0.0000 0.0000 0.0000 Ca
0.0000 0.0000 0.1912 Ca
0.0000 0.0000 0.3809 Ca
0.0000 0.0000 0.6191 Ca
0.0000 0.0000 0.8088 Ca
0.5000 0.5000 0.5000 Nd
0.5000 0.5000 0.0944 Mg
0.5000 0.5000 0.2877 Mg
0.5000 0.5000 0.7123 Mg
0.5000 0.5000 0.9056 Mg

***

Entry 7:
LiZn4Pt3 | Alexandria | GGA-PBE | relaxed; DOS(E_F) = 2.90 states/eV/f.u.; calculated formation energy = -0.50 eV per atom
1.0
3.4941 0.0000 0.0000
0.0000 4.0395 0.0000
0.0000 0.0000 8.2042
Li Zn Pt
1 4 3
direct
0.0000 0.0000 0.0000 Li
0.5000 0.0000 0.2525 Zn
0.5000 0.0000 0.7475 Zn
0.5000 0.5000 0.0000 Zn
0.5000 0.5000 0.5000 Zn
0.0000 0.0000 0.5000 Pt
0.0000 0.5000 0.2404 Pt
0.0000 0.5000 0.7596 Pt

***

Entry 8:
B5C7 | Alexandria | GGA-PBE | relaxed; DOS(E_F) = 1.86 states/eV/f.u.; energy above the most stable polymorph in this dataset = 1.12 eV per formula unit; calculated formation energy = 0.35 eV per atom
1.0
3.7623 0.0000 0.0000
1.8783 4.1738 0.0000
0.0587 1.4055 5.1045
B C
5 7
direct
0.0000 0.0000 0.0000 B
0.0896 0.9428 0.5830 B
0.3599 0.0011 0.3175 B
0.5886 0.3700 0.4402 B
0.7236 0.6578 0.8746 B
0.3164 0.0026 0.7937 C
0.3735 0.3445 0.1872 C
0.3934 0.3166 0.7157 C
0.6156 0.3303 0.9547 C
0.7509 0.6552 0.3781 C
0.9826 0.6394 0.6237 C
0.9833 0.6534 0.1388 C

***

Entry 9:
Li12Mg7Cd | Alexandria | GGA-PBE | relaxed; DOS(E_F) = 9.74 states/eV/f.u.; energy above the most stable polymorph in this dataset = 5.98 eV per formula unit; calculated formation energy = 0.29 eV per atom
1.0
-5.1796 5.1796 5.1796
5.1796 -5.1796 5.1796
5.1796 5.1796 -5.1796
Li Mg Cd
12 7 1
direct
0.1064 0.7486 0.3579 Li
0.2514 0.3579 0.6093 Li
0.2514 0.6421 0.8936 Li
0.3579 0.1064 0.7486 Li
0.3579 0.6093 0.2514 Li
0.3907 0.7486 0.6421 Li
0.6093 0.2514 0.3579 Li
0.6421 0.3907 0.7486 Li
0.6421 0.8936 0.2514 Li
0.7486 0.3579 0.1064 Li
0.7486 0.6421 0.3907 Li
0.8936 0.2514 0.6421 Li
0.0000 0.0000 0.5000 Mg
0.0000 0.5000 0.0000 Mg
0.0000 0.5000 0.5000 Mg
0.5000 0.0000 0.0000 Mg
0.5000 0.0000 0.5000 Mg
0.5000 0.5000 0.0000 Mg
0.5000 0.5000 0.5000 Mg
0.0000 0.0000 0.0000 Cd

***

Entry 10:
FeRu2Cl | Alexandria | GGA-PBE | relaxed; DOS(E_F) = 4.12 states/eV/f.u.; energy above the most stable polymorph in this dataset = 2.28 eV per formula unit; uncorrected formation energy = 0.875 eV/atom
1.0
0.0000 3.0588 3.0588
3.0588 0.0000 3.0588
3.0588 3.0588 0.0000
Fe Ru Cl
1 2 1
direct
0.0000 0.0000 0.0000 Fe
0.2500 0.2500 0.2500 Ru
0.5000 0.5000 0.5000 Ru
0.7500 0.7500 0.7500 Cl